TiRe2Os (PBE, optimized geometry); ΔE to the lowest computed polymorph = 1.34 eV/f.u.; spin magnetization = 0.0 Bohr magnetons per cell; DFT formation energy = 0.34 eV/atom; space group = R-3m (166); DOS(E_F) = 3.557 states/eV/cell
1.0
2.752 0.000 0.000
1.376 2.383 0.000
1.376 0.794 9.565
Re Os Ti
2 1 1
Cartesian
4.128 2.383 2.580 Re
1.376 0.794 6.985 Re
2.752 1.589 4.782 Os
0.000 0.000 0.000 Ti